Si2PtAu PBE optimized geometry; total magnetic moment = 0.00 μB/f.u.; calculated volume = 17.18 Å³/atom; SG = C2/m (12); ΔE_f (raw) = 0.047 eV/atom
1.0
-3.792 -1.509 -0.982
-0.302 -0.313 4.176
-3.717 2.651 1.900
Au Pt Si
1 1 2
direct
0.500 0.000 0.500
0.000 0.500 0.500
0.000 0.000 0.000
0.500 0.500 0.000